No. 1
# K2CrHgS4

A relaxed structure of K2CrHgS4 (PBE, Alexandria via LeMat-Bulk).

* density of states at the Fermi level: 0.82 states/eV/f.u.
* SG: I-4
* uncorrected formation energy: -547 kJ/mol of formula units
* size of the total moment: 0.250 μB/atom
* calculated total energy: -4.29 eV per atom

```
8
Lattice="6.6323 0.1014 0.1553 -2.7342 6.0433 -0.1553 -2.7342 -2.5742 5.4698" Properties=species:S:1:pos:R:3 pbc="T T T"
K 0.5819 3.9396 1.3286
K 0.0000 0.0000 0.0000
Cr -2.7342 1.7345 2.6572
Hg 0.5819 -0.3691 4.1412
S 1.7569 1.4046 2.6645
S -1.7875 -0.1863 3.1117
S 4.4202 2.8250 0.9306
S -2.0620 3.0976 4.2328
```

***

No. 2
# KCrHg2Se

A relaxed structure of KCrHg2Se (PBE, Alexandria via LeMat-Bulk).

* density of states at the Fermi level: 5.07 states/eV/f.u.
* SG: P4/mmm
* uncorrected formation energy: 178 kJ/mol of formula units
* size of the total moment: 0.996 μB/atom
* calculated total energy: -2.59 eV per atom

```
5
Lattice="-2.9944 2.0887 -3.7872 2.0029 -4.4624 -4.0447 -3.9937 -3.1033 1.4461" Properties=species:S:1:pos:R:3 pbc="T T T"
Cr 0.0000 0.0000 0.0000
K 1.0014 -2.2312 -2.0223
Hg -1.9969 -1.5517 0.7231
Hg -1.4972 1.0443 -1.8936
Se -2.4926 -2.7385 -3.1929
```

***

> Look up the density of states at the Fermi level of the first one.

0.82 states/eV/f.u.